Computed, not measured: a relaxed structure of ZrScCd2 at the PBE-GGA level of DFT.

Lattice parameters (Å, degrees): 3.2329 3.2329 8.5795 90.00 90.00 90.00
Last column: nearest neighbours and their distance in Å.
Sites, in units of the cell vectors:
1 Zr 0.0000 0.0000 0.0000  4 Sc 3.14, 4 Cd 3.17, 4 Zr 3.23
2 Sc 0.5000 0.5000 0.7499  4 Zr 3.14, 4 Cd 3.14, 4 Sc 3.23
3 Cd 0.0000 0.0000 0.4992  8 Cd 3.10-3.23, 4 Sc 3.14
4 Cd 0.5000 0.5000 0.2555  8 Cd 3.10-3.23, 4 Zr 3.17

As for the energy above the most stable polymorph in this dataset: 7 meV per atom. The energy of formation from the pure elements is -16 kJ/mol of atoms. The total moment is 0.000 Bohr magnetons per cell.